No. 1
# TbPm2Nd4Ho | Alexandria via LeMat-Bulk | PBE | relaxed
data_TbPm2Nd4Ho
_cell_length_a 5.145
_cell_length_b 5.166
_cell_length_c 10.244
_cell_angle_alpha 90.00
_cell_angle_beta 90.10
_cell_angle_gamma 90.00
_symmetry_space_group_name_H-M 'P 1 2/m 1'
_symmetry_Int_Tables_number 10
_symmetry_space_group_name_Hall '-P 2y'
loop_
_atom_site_label
_atom_site_fract_x
_atom_site_fract_y
_atom_site_fract_z
_atom_site_occupancy
Tb1 0.000 0.000 0.000 1
Pm1 0.000 0.000 0.500 1
Pm2 0.500 0.500 0.000 1
Nd1 0.000 0.500 0.251 1
Nd2 0.500 0.000 0.250 1
Ho1 0.500 0.500 0.500 1
# calculated total energy	-37.675	eV/cell
# theoretical density	7.3	g/cm3


No. 2
# Er2ScZn | Alexandria via LeMat-Bulk | PBE | relaxed
data_Er2ScZn
_cell_length_a 5.129
_cell_length_b 5.129
_cell_length_c 3.743
_cell_angle_alpha 90.00
_cell_angle_beta 90.00
_cell_angle_gamma 90.00
_symmetry_space_group_name_H-M 'P 4/m m m'
_symmetry_Int_Tables_number 123
_symmetry_space_group_name_Hall '-P 4 2'
loop_
_atom_site_label
_atom_site_fract_x
_atom_site_fract_y
_atom_site_fract_z
_atom_site_occupancy
Er1 0.000 0.500 0.000 1
Sc1 0.000 0.000 0.500 1
Zn1 0.500 0.500 0.500 1
# calculated total energy	-16.923	eV/cell
# theoretical density	7.5	g/cm3


No. 3
# ThTlZnNi | Alexandria via LeMat-Bulk | PBE | relaxed
data_ThTlZnNi
_cell_length_a 6.912
_cell_length_b 6.912
_cell_length_c 6.912
_cell_angle_alpha 90.00
_cell_angle_beta 90.00
_cell_angle_gamma 90.00
_symmetry_space_group_name_H-M 'F -4 3 m'
_symmetry_Int_Tables_number 216
_symmetry_space_group_name_Hall 'F -4 2 3'
loop_
_atom_site_label
_atom_site_fract_x
_atom_site_fract_y
_atom_site_fract_z
_atom_site_occupancy
Th1 0.000 0.000 0.000 1
Tl1 0.000 0.000 0.500 1
Zn1 0.250 0.250 0.750 1
Ni1 0.250 0.250 0.250 1
# calculated total energy	-69.836	eV/cell
# theoretical density	11.3	g/cm3


No. 4
# Ac2CuPN4 | Alexandria via LeMat-Bulk | PBE | relaxed
data_Ac2CuPN4
_cell_length_a 5.442
_cell_length_b 6.121
_cell_length_c 8.221
_cell_angle_alpha 80.55
_cell_angle_beta 84.09
_cell_angle_gamma 83.75
_symmetry_space_group_name_H-M 'P -1'
_symmetry_Int_Tables_number 2
_symmetry_space_group_name_Hall '-P 1'
loop_
_atom_site_label
_atom_site_fract_x
_atom_site_fract_y
_atom_site_fract_z
_atom_site_occupancy
Ac1 0.230 0.235 0.022 1
Ac2 0.242 0.740 0.599 1
Cu1 0.250 0.213 0.665 1
P1 0.228 0.712 0.212 1
N1 0.055 0.501 0.232 1
N2 0.059 0.915 0.309 1
N3 0.288 0.808 0.014 1
N4 0.480 0.631 0.313 1
# energy relative to the elements, uncorrected	-0.87	eV/atom
# theoretical density	7.5	g/cm3


No. 5
# RuPb3O | Alexandria via LeMat-Bulk | PBE | relaxed
data_RuPb3O
_cell_length_a 4.866
_cell_length_b 4.866
_cell_length_c 4.866
_cell_angle_alpha 90.00
_cell_angle_beta 90.00
_cell_angle_gamma 90.00
_symmetry_space_group_name_H-M 'P m -3 m'
_symmetry_Int_Tables_number 221
_symmetry_space_group_name_Hall '-P 4 2 3'
loop_
_atom_site_label
_atom_site_fract_x
_atom_site_fract_y
_atom_site_fract_z
_atom_site_occupancy
Ru1 0.000 0.000 0.000 1
Pb1 0.000 0.500 0.500 1
O1 0.500 0.500 0.500 1
# energy relative to the elements, uncorrected	0.31	eV/atom
# theoretical density	10.6	g/cm3


No. 6
# P3Pb4 | Alexandria via LeMat-Bulk | PBE | relaxed
data_P3Pb4
_cell_length_a 4.017
_cell_length_b 4.017
_cell_length_c 24.241
_cell_angle_alpha 90.00
_cell_angle_beta 90.00
_cell_angle_gamma 90.00
_symmetry_space_group_name_H-M 'I 4/m m m'
_symmetry_Int_Tables_number 139
_symmetry_space_group_name_Hall '-I 4 2'
loop_
_atom_site_label
_atom_site_fract_x
_atom_site_fract_y
_atom_site_fract_z
_atom_site_occupancy
P1 0.000 0.000 0.000 1
P2 0.000 0.000 0.318 1
Pb1 0.000 0.000 0.198 1
Pb2 0.000 0.000 0.436 1
# calculated total energy	-58.720	eV/cell
# theoretical density	7.8	g/cm3


No. 7
# TcBAs2Br | Alexandria via LeMat-Bulk | PBE | relaxed
data_TcBAs2Br
_cell_length_a 4.701
_cell_length_b 4.701
_cell_length_c 5.548
_cell_angle_alpha 90.00
_cell_angle_beta 90.00
_cell_angle_gamma 90.00
_symmetry_space_group_name_H-M 'P 4/m m m'
_symmetry_Int_Tables_number 123
_symmetry_space_group_name_Hall '-P 4 2'
loop_
_atom_site_label
_atom_site_fract_x
_atom_site_fract_y
_atom_site_fract_z
_atom_site_occupancy
Tc1 0.000 0.000 0.000 1
B1 0.500 0.500 0.500 1
As1 0.000 0.500 0.000 1
Br1 0.000 0.000 0.500 1
# energy relative to the elements, uncorrected	1.21	eV/atom
# theoretical density	4.6	g/cm3


No. 8
# UTe5 | Alexandria via LeMat-Bulk | PBE | relaxed
data_UTe5
_cell_length_a 4.605
_cell_length_b 18.397
_cell_length_c 4.292
_cell_angle_alpha 90.00
_cell_angle_beta 90.00
_cell_angle_gamma 90.00
_symmetry_space_group_name_H-M 'C m m m'
_symmetry_Int_Tables_number 65
_symmetry_space_group_name_Hall '-C 2 2'
loop_
_atom_site_label
_atom_site_fract_x
_atom_site_fract_y
_atom_site_fract_z
_atom_site_occupancy
U1 0.000 0.000 0.000 1
Te1 0.000 0.145 0.500 1
Te2 0.000 0.353 0.000 1
Te3 0.000 0.500 0.500 1
# energy relative to the elements, uncorrected	-0.21	eV/atom
# theoretical density	8.0	g/cm3


No. 9
# Y3HfAu | Alexandria via LeMat-Bulk | PBE | relaxed
data_Y3HfAu
_cell_length_a 5.488
_cell_length_b 5.488
_cell_length_c 5.488
_cell_angle_alpha 90.00
_cell_angle_beta 90.00
_cell_angle_gamma 90.00
_symmetry_space_group_name_H-M 'P m -3 m'
_symmetry_Int_Tables_number 221
_symmetry_space_group_name_Hall '-P 4 2 3'
loop_
_atom_site_label
_atom_site_fract_x
_atom_site_fract_y
_atom_site_fract_z
_atom_site_occupancy
Y1 0.000 0.000 0.500 1
Hf1 0.000 0.000 0.000 1
Au1 0.500 0.500 0.500 1
# calculated total energy	-29.200	eV/cell
# theoretical density	6.4	g/cm3


No. 10
# TaTl2As | Alexandria via LeMat-Bulk | PBE | relaxed
data_TaTl2As
_cell_length_a 3.052
_cell_length_b 5.310
_cell_length_c 5.581
_cell_angle_alpha 90.00
_cell_angle_beta 90.00
_cell_angle_gamma 90.00
_symmetry_space_group_name_H-M 'P m m m'
_symmetry_Int_Tables_number 47
_symmetry_space_group_name_Hall '-P 2 2'
loop_
_atom_site_label
_atom_site_fract_x
_atom_site_fract_y
_atom_site_fract_z
_atom_site_occupancy
Ta1 0.000 0.000 0.000 1
Tl1 0.000 0.500 0.500 1
Tl2 0.500 0.000 0.500 1
As1 0.500 0.500 0.000 1
# calculated total energy	-18.792	eV/cell
# theoretical density	12.2	g/cm3


No. 11
# PrGeBO5 | Alexandria via LeMat-Bulk | PBE | relaxed
data_PrGeBO5
_cell_length_a 7.0372
_cell_length_b 7.0372
_cell_length_c 6.8493
_cell_angle_alpha 90.00
_cell_angle_beta 90.00
_cell_angle_gamma 120.00
_symmetry_space_group_name_H-M 'P 31'
_symmetry_Int_Tables_number 144
_symmetry_space_group_name_Hall 'P 31'
loop_
_atom_site_label
_atom_site_fract_x
_atom_site_fract_y
_atom_site_fract_z
_atom_site_occupancy
Pr1 0.0827 0.7466 0.0000 1
Ge1 0.0836 0.7563 0.5001 1
B1 0.5666 0.2166 0.9675 1
O1 0.0179 0.5282 0.3405 1
O2 0.0538 0.1763 0.6525 1
O3 0.1942 0.4731 0.0105 1
O4 0.3412 0.1923 0.9948 1
O5 0.6226 0.3554 0.4322 1
# energy relative to the elements, uncorrected	-2.52	eV/atom
# theoretical density	5.2	g/cm3


No. 12
# TaSbMo | Alexandria via LeMat-Bulk | PBE | relaxed
data_TaSbMo
_cell_length_a 3.275
_cell_length_b 4.340
_cell_length_c 18.636
_cell_angle_alpha 90.00
_cell_angle_beta 90.00
_cell_angle_gamma 90.00
_symmetry_space_group_name_H-M 'A m m 2'
_symmetry_Int_Tables_number 38
_symmetry_space_group_name_Hall 'A 2 -2'
loop_
_atom_site_label
_atom_site_fract_x
_atom_site_fract_y
_atom_site_fract_z
_atom_site_occupancy
Ta1 0.000 0.000 0.000 1
Ta2 0.000 0.000 0.377 1
Sb1 0.000 0.000 0.757 1
Sb2 0.500 0.000 0.126 1
Mo1 0.500 0.000 0.506 1
Mo2 0.500 0.000 0.879 1
# energy relative to the elements, uncorrected	0.13	eV/atom
# theoretical density	10.0	g/cm3


> Look up the theoretical density of the fifth one.

10.6 g/cm3